Record 1
A relaxed ScAl2Ni6 crystal, computed with PBE.

a = 2.704 Å, b = 6.787 Å, c = 12.554 Å
α = 90.00°, β = 90.00°, γ = 90.00°
Space group Immm (No. 71)
Inequivalent atoms, fractional coordinates:
Sc 0.000 0.000 0.000 (multiplicity 2)
Al 0.000 0.500 0.146 (multiplicity 4)
Ni 0.000 0.173 0.500 (multiplicity 4)
Ni 0.000 0.318 0.323 (multiplicity 8)

- Formation energy: -254 kJ/mol of formula units



Record 2
A relaxed Pm3Sm3HoSe8 crystal, computed with PBE.

a = 8.3274 Å, b = 8.3274 Å, c = 20.4331 Å
α = 90.00°, β = 90.00°, γ = 120.00°
Space group R-3m (No. 166, hexagonal axes)
Inequivalent atoms, fractional coordinates:
Pm 0.0000 0.5000 0.0000 (multiplicity 9)
Sm 0.0000 0.5000 0.5000 (multiplicity 9)
Ho 0.0000 0.0000 0.5000 (multiplicity 3)
Se 0.0000 0.0000 0.2493 (multiplicity 6)
Se 0.0029 0.5014 0.2486 (multiplicity 18)

- Raw formation energy: -28.05 eV per formula unit



Record 3
A relaxed PmAg2SO6 crystal, computed with PBE.

a = 5.8217 Å, b = 5.8217 Å, c = 5.8467 Å
α = 90.00°, β = 90.00°, γ = 120.00°
Space group P-3m1 (No. 164)
Inequivalent atoms, fractional coordinates:
Pm 0.0000 0.0000 0.0000 (multiplicity 1)
Ag 0.3333 0.6667 0.4825 (multiplicity 2)
S 0.0000 0.0000 0.5000 (multiplicity 1)
O 0.1358 0.2716 0.6722 (multiplicity 6)

- Raw formation energy: -9.40 eV per formula unit



Record 4
A relaxed KSn2As crystal, computed with PBE.

a = 5.507 Å, b = 3.918 Å, c = 6.090 Å
α = 90.00°, β = 110.81°, γ = 90.00°
Space group Pm (No. 6)
Inequivalent atoms, fractional coordinates:
K 0.000 0.000 0.000 (multiplicity 1)
Sn 0.313 0.000 0.591 (multiplicity 1)
Sn 0.689 0.500 0.409 (multiplicity 1)
As 0.477 0.500 0.927 (multiplicity 1)

- Formation energy: -58 kJ/mol of formula units



Record 5
A relaxed CeSm5Dy6 crystal, computed with PBE.

a = 5.070 Å, b = 10.077 Å, c = 15.208 Å
α = 90.00°, β = 90.00°, γ = 90.00°
Space group Immm (No. 71)
Inequivalent atoms, fractional coordinates:
Ce 0.000 0.000 0.000 (multiplicity 2)
Sm 0.000 0.000 0.333 (multiplicity 4)
Sm 0.000 0.500 0.000 (multiplicity 2)
Sm 0.000 0.500 0.334 (multiplicity 4)
Dy 0.000 0.249 0.165 (multiplicity 8)
Dy 0.000 0.253 0.500 (multiplicity 4)

- Formation energy: 40 kJ/mol of formula units



Record 6
A relaxed Y3ThNi crystal, computed with PBE.

a = 5.304 Å, b = 5.304 Å, c = 5.304 Å
α = 90.00°, β = 90.00°, γ = 90.00°
Space group Pm-3m (No. 221)
Inequivalent atoms, fractional coordinates:
Y 0.000 0.000 0.500 (multiplicity 3)
Th 0.500 0.500 0.500 (multiplicity 1)
Ni 0.000 0.000 0.000 (multiplicity 1)

- Formation energy: 3 kJ/mol of formula units



For the records above, the corresponding spin magnetization values read 0.00 0.00 0.00 0.00 0.99 0.00 μB per formula unit.